Model a:
Material: BaZn3P3
Method: DFT, PBE
State: optimized geometry

```
data_BaZn3P3
_symmetry_space_group_name_H-M 'P 63/m'
_symmetry_Int_Tables_number 176
_symmetry_space_group_name_Hall '-P 6c'
_cell_length_a 9.6460
_cell_length_b 9.6460
_cell_length_c 4.1638
_cell_angle_alpha 90.00
_cell_angle_beta 90.00
_cell_angle_gamma 120.00
loop_
_atom_site_label
_atom_site_fract_x
_atom_site_fract_y
_atom_site_fract_z
Ba1 0.3333 0.6667 0.2500
Zn1 0.0503 0.3623 0.7500
P1 0.0849 0.6842 0.7500
```

Output
crystal system: hexagonal
N(E_F): 5.6 states/eV/cell


Model b:
Material: BaZn3P3
Method: DFT, PBE
State: optimized geometry

```
data_BaZn3P3
_symmetry_space_group_name_H-M 'P m -3 n'
_symmetry_Int_Tables_number 223
_symmetry_space_group_name_Hall '-P 4n 2 3'
_cell_length_a 6.756
_cell_length_b 6.756
_cell_length_c 6.756
_cell_angle_alpha 90.00
_cell_angle_beta 90.00
_cell_angle_gamma 90.00
loop_
_atom_site_label
_atom_site_fract_x
_atom_site_fract_y
_atom_site_fract_z
Ba1 0.000 0.000 0.000
Zn1 0.000 0.250 0.500
P1 0.000 0.500 0.250
```

Output
crystal system: cubic
N(E_F): 3.4 states/eV/cell


Quick ranking, most stable first: model b, model a.